Record 1
Compound: CuOsSe2
Source: Alexandria via LeMat-Bulk
Functional: PBE
Structure: relaxed

extended XYZ file:
```
12
Lattice="3.1208 0.0000 0.0000 -1.5604 2.7027 0.0000 0.0000 0.0000 24.5745" Properties=species:S:1:pos:R:3 pbc="T T T"
Cu 0.0000 0.0000 0.0000
Cu 0.0000 1.8018 16.3830
Cu 1.5604 0.9009 8.1915
Os 0.0000 0.0000 12.2872
Os 0.0000 1.8018 4.0958
Os 1.5604 0.9009 20.4787
Se 0.0000 0.0000 9.9233
Se 0.0000 0.0000 14.6511
Se 0.0000 1.8018 1.7319
Se 0.0000 1.8018 6.4596
Se 1.5604 0.9009 18.1149
Se 1.5604 0.9009 22.8426
```

space group = R-3m (166)
mass density = 9894 kg/m3
DOS(E_F) = 8.99 states/eV per cell
polymorph energy (0 for the lowest one) = 426 meV per atom
total DFT energy (no corrections) = -60.138 eV/cell
ΔE_f (raw) = 2.2 eV per formula unit
calculated volume = 207.3 Å³/cell

Record 2
Compound: CuOsSe2
Source: Alexandria via LeMat-Bulk
Functional: PBE
Structure: relaxed

extended XYZ file:
```
4
Lattice="2.8808 0.0000 0.0000 0.0000 3.1999 0.0000 -1.3342 0.0000 7.5834" Properties=species:S:1:pos:R:3 pbc="T T T"
Cu 0.0000 0.0000 0.0000
Os -0.6671 0.0000 3.7917
Se -0.5837 1.5999 5.6958
Se 2.1303 1.5999 1.8876
```

space group = P2/m (10)
mass density = 9779 kg/m3
DOS(E_F) = 3.42 states/eV per cell
polymorph energy (0 for the lowest one) = 345 meV per atom
total DFT energy (no corrections) = -20.367 eV/cell
ΔE_f (raw) = 1.9 eV per formula unit
calculated volume = 69.9 Å³/cell

Record 3
Compound: Cu3OsSe
Source: Alexandria via LeMat-Bulk
Functional: PBE
Structure: relaxed

extended XYZ file:
```
5
Lattice="4.4257 0.0000 0.0000 0.0000 4.4257 0.0000 0.0000 0.0000 4.4257" Properties=species:S:1:pos:R:3 pbc="T T T"
Cu 0.0000 0.0000 2.2128
Cu 0.0000 2.2128 0.0000
Cu 2.2128 0.0000 0.0000
Os 2.2128 2.2128 2.2128
Se 0.0000 0.0000 0.0000
```

space group = Pm-3m (221)
mass density = 8808 kg/m3
DOS(E_F) = 5.35 states/eV per cell
polymorph energy (0 for the lowest one) = 0 meV per atom
total DFT energy (no corrections) = -20.497 eV/cell
ΔE_f (raw) = 6.5 eV per formula unit
calculated volume = 86.7 Å³/cell

Record 4
Compound: CuOsSe2
Source: Alexandria via LeMat-Bulk
Functional: PBE
Structure: relaxed

extended XYZ file:
```
16
Lattice="5.6091 0.0000 0.0000 0.0000 5.6091 0.0000 0.0000 0.0000 10.8204" Properties=species:S:1:pos:R:3 pbc="T T T"
Cu 0.0000 0.0000 0.0000
Cu 0.0000 2.8045 2.7051
Cu 2.8045 0.0000 8.1153
Cu 2.8045 2.8045 5.4102
Os 0.0000 0.0000 5.4102
Os 0.0000 2.8045 8.1153
Os 2.8045 0.0000 2.7051
Os 2.8045 2.8045 0.0000
Se 1.3820 1.4023 6.7627
Se 1.4023 4.1865 9.4678
Se 1.4023 4.2271 4.0576
Se 1.4226 1.4023 1.3525
Se 4.1865 4.2068 1.3525
Se 4.2068 1.3820 4.0576
Se 4.2068 1.4226 9.4678
Se 4.2271 4.2068 6.7627
```

space group = I-42d (122)
mass density = 8033 kg/m3
DOS(E_F) = 11.90 states/eV per cell
polymorph energy (0 for the lowest one) = 94 meV per atom
total DFT energy (no corrections) = -85.493 eV/cell
ΔE_f (raw) = 0.9 eV per formula unit
calculated volume = 340.4 Å³/cell

Record 5
Compound: Th4CuOsSe2
Source: Alexandria via LeMat-Bulk
Functional: PBE
Structure: relaxed

extended XYZ file:
```
8
Lattice="7.0772 0.0000 0.0000 0.0000 4.1686 0.0000 -2.3899 0.0000 7.2906" Properties=species:S:1:pos:R:3 pbc="T T T"
Th 1.1324 0.0000 1.6136
Th -0.1076 2.0843 5.6334
Th 4.7950 2.0843 1.6572
Th 3.5549 0.0000 5.6770
Cu 3.5386 0.0000 0.0000
Os 0.0000 2.0843 0.0000
Se -1.1950 0.0000 3.6453
Se 2.3437 2.0843 3.6453
```

space group = P2/m (10)
mass density = 10344 kg/m3
DOS(E_F) = 7.09 states/eV per cell
total DFT energy (no corrections) = -58.995 eV/cell
ΔE_f (raw) = -7.0 eV per formula unit
calculated volume = 215.1 Å³/cell

Record 6
Compound: CuSi2Os
Source: Alexandria via LeMat-Bulk
Functional: PBE
Structure: relaxed

extended XYZ file:
```
16
Lattice="3.8085 0.0000 0.0000 0.0000 3.8085 0.0000 0.0000 0.0000 15.9542" Properties=species:S:1:pos:R:3 pbc="T T T"
Cu 0.0000 0.0000 0.0000
Cu 0.0000 1.9043 3.9886
Cu 1.9043 0.0000 11.9657
Cu 1.9043 1.9043 7.9771
Si 0.9207 0.9521 1.9943
Si 0.9521 2.8249 5.9828
Si 0.9521 2.8878 13.9599
Si 0.9836 0.9521 9.9714
Si 2.8249 2.8564 9.9714
Si 2.8564 0.9207 13.9599
Si 2.8564 0.9836 5.9828
Si 2.8878 2.8564 1.9943
Os 0.0000 0.0000 7.9771
Os 0.0000 1.9043 11.9657
Os 1.9043 0.0000 3.9886
Os 1.9043 1.9043 0.0000
```

space group = I-42d (122)
mass density = 8896 kg/m3
DOS(E_F) = 14.59 states/eV per cell
polymorph energy (0 for the lowest one) = 325 meV per atom
total DFT energy (no corrections) = -100.894 eV/cell
ΔE_f (raw) = 0.9 eV per formula unit
calculated volume = 231.4 Å³/cell

Record 7
Compound: CuSiOs2
Source: Alexandria via LeMat-Bulk
Functional: PBE
Structure: relaxed

extended XYZ file:
```
16
Lattice="6.0187 0.0000 0.0000 0.0000 6.0187 0.0000 0.0000 0.0000 6.0187" Properties=species:S:1:pos:R:3 pbc="T T T"
Cu 0.0000 0.0000 0.0000
Cu 0.0000 3.0093 3.0093
Cu 3.0093 0.0000 3.0093
Cu 3.0093 3.0093 0.0000
Si 1.5047 1.5047 4.5140
Si 1.5047 4.5140 1.5047
Si 4.5140 1.5047 1.5047
Si 4.5140 4.5140 4.5140
Os 0.0000 0.0000 3.0093
Os 0.0000 3.0093 0.0000
Os 1.5047 1.5047 1.5047
Os 1.5047 4.5140 4.5140
Os 3.0093 0.0000 0.0000
Os 3.0093 3.0093 3.0093
Os 4.5140 1.5047 4.5140
Os 4.5140 4.5140 1.5047
```

space group = F-43m (216)
mass density = 14383 kg/m3
DOS(E_F) = 15.84 states/eV per cell
total DFT energy (no corrections) = -122.065 eV/cell
ΔE_f (raw) = 1.5 eV per formula unit
calculated volume = 218.0 Å³/cell

Record 8
Compound: CuSiOs2
Source: Alexandria via LeMat-Bulk
Functional: PBE
Structure: relaxed

extended XYZ file:
```
4
Lattice="2.8054 0.0000 0.0000 0.0000 3.7919 0.0000 -1.0173 0.0000 5.1176" Properties=species:S:1:pos:R:3 pbc="T T T"
Cu 0.0000 0.0000 0.0000
Si -0.5086 0.0000 2.5588
Os 0.2589 1.8960 3.7769
Os 1.5293 1.8960 1.3407
```

space group = P2/m (10)
mass density = 14400 kg/m3
DOS(E_F) = 3.12 states/eV per cell
total DFT energy (no corrections) = -31.534 eV/cell
ΔE_f (raw) = 0.4 eV per formula unit
calculated volume = 54.4 Å³/cell

Question: What is the total DFT energy (no corrections) in the second record?
Answer: -20.367 eV/cell

Question: The lowest DOS(E_F) belongs to which entry?
Answer: number 8